1.
# InOsPb4 (GGA-PBE, optimized geometry)
# - energy of formation (eV per atom) = 1.0330
data_InOsPb4
_symmetry_space_group_name_H-M 'F -4 3 m'
_symmetry_Int_Tables_number 216
_symmetry_space_group_name_Hall 'F -4 2 3'
_cell_length_a 8.826
_cell_length_b 8.826
_cell_length_c 8.826
_cell_angle_alpha 90.00
_cell_angle_beta 90.00
_cell_angle_gamma 90.00
loop_
_atom_site_label
_atom_site_fract_x
_atom_site_fract_y
_atom_site_fract_z
In1 0.000 0.000 0.000
Os1 0.250 0.250 0.750
Pb1 0.124 0.124 0.376


2.
# InOsPb2 (GGA-PBE, optimized geometry)
# - energy of formation (eV per atom) = 0.8128
data_InOsPb2
_symmetry_space_group_name_H-M 'I 4/m m m'
_symmetry_Int_Tables_number 139
_symmetry_space_group_name_Hall '-I 4 2'
_cell_length_a 4.744
_cell_length_b 4.744
_cell_length_c 8.212
_cell_angle_alpha 90.00
_cell_angle_beta 90.00
_cell_angle_gamma 90.00
loop_
_atom_site_label
_atom_site_fract_x
_atom_site_fract_y
_atom_site_fract_z
In1 0.000 0.000 0.000
Os1 0.000 0.000 0.500
Pb1 0.000 0.500 0.250


3.
# RbIn2OsPb (GGA-PBE, optimized geometry)
# - energy of formation (eV per atom) = 1.1070
data_RbIn2OsPb
_symmetry_space_group_name_H-M 'P 4/m m m'
_symmetry_Int_Tables_number 123
_symmetry_space_group_name_Hall '-P 4 2'
_cell_length_a 5.770
_cell_length_b 5.770
_cell_length_c 5.378
_cell_angle_alpha 90.00
_cell_angle_beta 90.00
_cell_angle_gamma 90.00
loop_
_atom_site_label
_atom_site_fract_x
_atom_site_fract_y
_atom_site_fract_z
Rb1 0.000 0.000 0.000
In1 0.000 0.500 0.500
Os1 0.500 0.500 0.000
Pb1 0.500 0.500 0.500


4.
# Th2InOsPb (GGA-PBE, optimized geometry)
# - energy of formation (eV per atom) = -0.3227
data_Th2InOsPb
_symmetry_space_group_name_H-M 'P 1 21/m 1'
_symmetry_Int_Tables_number 11
_cell_length_a 8.031
_cell_length_b 4.251
_cell_length_c 9.023
_cell_angle_alpha 90.00
_cell_angle_beta 115.00
_cell_angle_gamma 90.00
loop_
_symmetry_equiv_pos_as_xyz
'x,y,z'
'-x,-y,-z'
'-x,y+1/2,-z'
'x,-y+1/2,z'
loop_
_atom_site_label
_atom_site_fract_x
_atom_site_fract_y
_atom_site_fract_z
Th1 0.049 0.250 0.191
Th2 0.435 0.750 0.142
In1 0.122 0.250 0.608
Os1 0.219 0.250 0.949
Pb1 0.354 0.750 0.512


5.
# V2InOsPb (GGA-PBE, optimized geometry)
# - energy of formation (eV per atom) = 0.9704
data_V2InOsPb
_symmetry_space_group_name_H-M 'P 4/m m m'
_symmetry_Int_Tables_number 123
_symmetry_space_group_name_Hall '-P 4 2'
_cell_length_a 5.003
_cell_length_b 5.003
_cell_length_c 5.420
_cell_angle_alpha 90.00
_cell_angle_beta 90.00
_cell_angle_gamma 90.00
loop_
_atom_site_label
_atom_site_fract_x
_atom_site_fract_y
_atom_site_fract_z
V1 0.000 0.500 0.000
In1 0.000 0.000 0.500
Os1 0.500 0.500 0.000
Pb1 0.500 0.500 0.500


6.
# ZnInOsPb2 (GGA-PBE, optimized geometry)
# - energy of formation (eV per atom) = 0.4321
data_ZnInOsPb2
_symmetry_space_group_name_H-M 'P 4/m m m'
_symmetry_Int_Tables_number 123
_symmetry_space_group_name_Hall '-P 4 2'
_cell_length_a 5.277
_cell_length_b 5.277
_cell_length_c 5.002
_cell_angle_alpha 90.00
_cell_angle_beta 90.00
_cell_angle_gamma 90.00
loop_
_atom_site_label
_atom_site_fract_x
_atom_site_fract_y
_atom_site_fract_z
Zn1 0.000 0.000 0.000
In1 0.500 0.500 0.000
Os1 0.000 0.000 0.500
Pb1 0.000 0.500 0.500